1.
Y4PuBi5 | the Alexandria database | PBE | optimized geometry; SG = Immm; DFT formation energy = -7.79 eV/f.u.; energy = -67.39 eV/f.u.
1.0
-2.248 3.178 11.247
2.248 -3.178 11.247
2.248 3.178 -11.247
Y Pu Bi
4 1 5
Cartesian
0.000 0.000 2.262
0.000 0.000 6.722
0.000 0.000 15.772
0.000 0.000 20.231
0.000 0.000 11.247
2.248 0.000 0.000
2.248 0.000 4.499
2.248 0.000 8.975
0.000 3.178 2.271
0.000 3.178 6.748

***

2.
Li2MgMo4 | the Alexandria database | PBE | optimized geometry; SG = I4/mmm; DFT formation energy = 14.78 eV/f.u.; energy = -33.97 eV/f.u.
1.0
-2.370 2.370 6.259
2.370 -2.370 6.259
2.370 2.370 -6.259
Li Mg Mo
2 1 4
Cartesian
0.000 0.000 1.328
0.000 0.000 11.189
0.000 0.000 6.259
2.370 0.000 0.000
0.000 0.000 3.864
0.000 2.370 0.000
0.000 0.000 8.653

***

3.
AlGaAu2 | the Alexandria database | PBE | optimized geometry; SG = P2_1/c; DFT formation energy = -1.04 eV/f.u.; energy = -14.36 eV/f.u.
1.0
8.118 0.000 0.000
0.000 6.569 0.000
-1.416 0.000 5.844
Al Ga Au
4 4 8
Cartesian
0.404 0.443 2.063
-0.304 2.842 4.985
7.006 3.728 0.859
6.298 6.126 3.781
2.549 3.743 1.654
1.841 6.111 4.576
4.860 0.458 1.268
4.152 2.826 4.190
0.203 4.580 3.056
0.911 5.274 0.134
2.461 1.252 0.677
1.753 2.032 3.599
4.949 4.537 2.245
4.241 5.317 5.167
5.791 1.295 5.711
6.499 1.989 2.788

***

4.
Mg3AlAg4 | the Alexandria database | PBE | optimized geometry; SG = C2/m; DFT formation energy = -1.66 eV/f.u.; energy = -21.59 eV/f.u.
1.0
7.071 -2.313 0.000
7.071 2.313 0.000
-1.501 0.000 4.375
Mg Al Ag
3 1 4
Cartesian
0.000 0.000 0.000
3.185 0.000 1.103
9.455 0.000 3.272
6.320 0.000 2.188
0.774 0.000 2.714
4.046 0.000 3.846
8.594 0.000 0.529
11.867 0.000 1.661

***

5.
TlTe2H2 | the Alexandria database | PBE | optimized geometry; E above lowest polymorph = 0.0 meV/atom; SG = P-1; energy = -15.04 eV/f.u.
1.0
4.998 0.000 0.000
1.911 6.795 0.000
2.084 2.039 8.511
Tl Te H
2 4 4
Cartesian
1.856 2.164 1.099
7.136 6.670 7.412
3.024 5.350 1.241
4.698 7.103 5.255
4.295 1.731 3.256
5.969 3.484 7.270
2.236 1.816 5.892
4.223 5.131 2.405
4.770 3.703 6.107
6.757 7.018 2.619

***

6.
Nd6Tl2Co | the Alexandria database | PBE | optimized geometry; SG = P2_1/c; DFT formation energy = -1.63 eV/f.u.; energy = -42.08 eV/f.u.
1.0
7.360 0.000 0.000
0.000 7.327 0.000
-7.282 0.000 10.270
Nd Tl Co
12 4 2
Cartesian
-0.362 0.002 2.590
-4.003 3.661 7.725
-1.836 1.775 5.395
1.805 1.888 0.260
-1.738 5.471 5.395
1.903 5.518 0.260
-1.826 1.808 10.010
1.816 1.855 4.875
-1.728 5.439 10.009
1.913 5.551 4.874
0.439 7.325 7.679
4.080 3.665 2.545
0.040 3.697 2.594
-3.601 7.292 7.729
3.679 0.034 2.541
0.037 3.629 7.676
0.000 0.000 0.000
-3.641 3.663 5.135